Record 1
Here is crystalline TaTl2Cr at its relaxed geometry from the Alexandria database. Energies are from PBE-GGA.

```
data_TaTl2Cr
_cell_length_a 6.1723
_cell_length_b 6.1723
_cell_length_c 4.9019
_cell_angle_alpha 66.70
_cell_angle_beta 66.70
_cell_angle_gamma 29.16
_space_group_name_H-M_alt 'P 1'
_space_group_IT_number 1
loop_
_space_group_symop_operation_xyz
'x,y,z'
loop_
_atom_site_label
_atom_site_fract_x
_atom_site_fract_y
_atom_site_fract_z
Cr1 0.5250 0.5250 0.4738
Tl1 0.9946 0.9946 0.0045
Tl2 0.7775 0.7775 0.7236
Ta1 0.2029 0.2029 0.2981
```

## Properties
SG	Cm (8)
calculated total energy	-0.2166	Ha/atom
size of the total moment	0.302	μB/atom
energy relative to the lowest polymorph listed for this composition	64	kJ/mol of formula units

---

Record 2
Here is crystalline Ca2PtPb2 at its relaxed geometry from the Alexandria database. Energies are from PBE-GGA.

```
data_Ca2PtPb2
_cell_length_a 7.4660
_cell_length_b 7.4660
_cell_length_c 5.2420
_cell_angle_alpha 90.00
_cell_angle_beta 90.00
_cell_angle_gamma 90.00
_space_group_name_H-M_alt 'P 1'
_space_group_IT_number 1
loop_
_space_group_symop_operation_xyz
'x,y,z'
loop_
_atom_site_label
_atom_site_fract_x
_atom_site_fract_y
_atom_site_fract_z
Pb1 0.6542 0.8458 0.5000
Pb2 0.1542 0.6542 0.5000
Pb3 0.8458 0.3458 0.5000
Pb4 0.3458 0.1542 0.5000
Ca1 0.1643 0.3357 0.0000
Ca2 0.3357 0.8357 0.0000
Ca3 0.8357 0.6643 0.0000
Ca4 0.6643 0.1643 0.0000
Pt1 0.5000 0.5000 0.0000
Pt2 0.0000 0.0000 0.0000
```

## Properties
SG	P4/mbm (127)
calculated total energy	-0.1384	Ha/atom
size of the total moment	0.000	μB/atom
energy relative to the lowest polymorph listed for this composition	152	kJ/mol of formula units

---

Record 3
Here is crystalline PuCdCoRu at its relaxed geometry from the Alexandria database. Energies are from PBE-GGA.

```
data_PuCdCoRu
_cell_length_a 4.6015
_cell_length_b 4.6015
_cell_length_c 4.6015
_cell_angle_alpha 60.00
_cell_angle_beta 60.00
_cell_angle_gamma 60.00
_space_group_name_H-M_alt 'P 1'
_space_group_IT_number 1
loop_
_space_group_symop_operation_xyz
'x,y,z'
loop_
_atom_site_label
_atom_site_fract_x
_atom_site_fract_y
_atom_site_fract_z
Cd1 0.0000 0.0000 0.0000
Ru1 0.7500 0.7500 0.7500
Pu1 0.5000 0.5000 0.5000
Co1 0.2500 0.2500 0.2500
```

## Properties
SG	F-43m (216)
calculated total energy	-0.2883	Ha/atom
size of the total moment	0.912	μB/atom

---

Record 4
Here is crystalline NaAu2I2 at its relaxed geometry from the Alexandria database. Energies are from PBE-GGA.

```
data_NaAu2I2
_cell_length_a 8.4948
_cell_length_b 8.4948
_cell_length_c 4.1751
_cell_angle_alpha 90.00
_cell_angle_beta 90.00
_cell_angle_gamma 90.00
_space_group_name_H-M_alt 'P 1'
_space_group_IT_number 1
loop_
_space_group_symop_operation_xyz
'x,y,z'
loop_
_atom_site_label
_atom_site_fract_x
_atom_site_fract_y
_atom_site_fract_z
Na1 0.5000 0.5000 0.0000
Na2 0.0000 0.0000 0.0000
I1 0.2803 0.7803 0.0000
I2 0.7803 0.7197 0.0000
I3 0.2197 0.2803 0.0000
I4 0.7197 0.2197 0.0000
Au1 0.8890 0.3890 0.5000
Au2 0.3890 0.1110 0.5000
Au3 0.1110 0.6110 0.5000
Au4 0.6110 0.8890 0.5000
```

## Properties
SG	P4/mbm (127)
calculated total energy	-0.0858	Ha/atom
formation energy without anion corrections	-140	meV/atom
size of the total moment	0.000	μB/atom
energy relative to the lowest polymorph listed for this composition	33	kJ/mol of formula units

---

Record 5
Here is crystalline AsRhW3 at its relaxed geometry from the Alexandria database. Energies are from PBE-GGA.

```
data_AsRhW3
_cell_length_a 4.5513
_cell_length_b 4.5513
_cell_length_c 4.5513
_cell_angle_alpha 90.00
_cell_angle_beta 90.00
_cell_angle_gamma 90.00
_space_group_name_H-M_alt 'P 1'
_space_group_IT_number 1
loop_
_space_group_symop_operation_xyz
'x,y,z'
loop_
_atom_site_label
_atom_site_fract_x
_atom_site_fract_y
_atom_site_fract_z
As1 0.0000 0.0000 0.0000
W1 0.0000 0.0000 0.5000
W2 0.0000 0.5000 0.0000
W3 0.5000 0.0000 0.0000
Rh1 0.5000 0.5000 0.5000
```

## Properties
SG	Pm-3m (221)
calculated total energy	-0.3132	Ha/atom
size of the total moment	0.000	μB/atom
energy relative to the lowest polymorph listed for this composition	0	kJ/mol of formula units

---

Record 6
Here is crystalline Pr2Sm3In2 at its relaxed geometry from the Alexandria database. Energies are from PBE-GGA.

```
data_Pr2Sm3In2
_cell_length_a 5.5199
_cell_length_b 6.6346
_cell_length_c 6.6981
_cell_angle_alpha 82.48
_cell_angle_beta 65.66
_cell_angle_gamma 90.08
_space_group_name_H-M_alt 'P 1'
_space_group_IT_number 1
loop_
_space_group_symop_operation_xyz
'x,y,z'
loop_
_atom_site_label
_atom_site_fract_x
_atom_site_fract_y
_atom_site_fract_z
Sm1 0.1477 0.5469 0.7004
Sm2 0.0000 0.0000 0.0000
Sm3 0.8523 0.4531 0.2996
Pr1 0.3224 0.1061 0.3565
Pr2 0.6776 0.8939 0.6435
In1 0.5719 0.3287 0.8511
In2 0.4281 0.6713 0.1489
```

## Properties
SG	P-1 (2)
calculated total energy	-0.1626	Ha/atom
size of the total moment	0.000	μB/atom
energy relative to the lowest polymorph listed for this composition	10	kJ/mol of formula units

---

Record 7
Here is crystalline Li2ReP at its relaxed geometry from the Alexandria database. Energies are from PBE-GGA.

```
data_Li2ReP
_cell_length_a 4.2923
_cell_length_b 3.4727
_cell_length_c 3.4727
_cell_angle_alpha 90.00
_cell_angle_beta 90.00
_cell_angle_gamma 90.00
_space_group_name_H-M_alt 'P 1'
_space_group_IT_number 1
loop_
_space_group_symop_operation_xyz
'x,y,z'
loop_
_atom_site_label
_atom_site_fract_x
_atom_site_fract_y
_atom_site_fract_z
Li1 0.0000 0.5000 0.5000
Li2 0.0000 0.0000 0.0000
Re1 0.5000 0.0000 0.5000
P1 0.5000 0.5000 0.0000
```

## Properties
SG	P4/mmm (123)
calculated total energy	-0.1983	Ha/atom
size of the total moment	0.046	μB/atom

---

Record 8
Here is crystalline ZrScTlTc at its relaxed geometry from the Alexandria database. Energies are from PBE-GGA.

```
data_ZrScTlTc
_cell_length_a 4.8369
_cell_length_b 4.8369
_cell_length_c 4.8369
_cell_angle_alpha 60.00
_cell_angle_beta 60.00
_cell_angle_gamma 60.00
_space_group_name_H-M_alt 'P 1'
_space_group_IT_number 1
loop_
_space_group_symop_operation_xyz
'x,y,z'
loop_
_atom_site_label
_atom_site_fract_x
_atom_site_fract_y
_atom_site_fract_z
Zr1 0.5000 0.5000 0.5000
Sc1 0.0000 0.0000 0.0000
Tc1 0.7500 0.7500 0.7500
Tl1 0.2500 0.2500 0.2500
```

## Properties
SG	F-43m (216)
calculated total energy	-0.2583	Ha/atom
size of the total moment	0.000	μB/atom
energy relative to the lowest polymorph listed for this composition	66	kJ/mol of formula units

---

Record 9
Here is crystalline LiTlIrCl2 at its relaxed geometry from the Alexandria database. Energies are from PBE-GGA.

```
data_LiTlIrCl2
_cell_length_a 5.6311
_cell_length_b 5.6100
_cell_length_c 5.6311
_cell_angle_alpha 90.00
_cell_angle_beta 90.00
_cell_angle_gamma 90.00
_space_group_name_H-M_alt 'P 1'
_space_group_IT_number 1
loop_
_space_group_symop_operation_xyz
'x,y,z'
loop_
_atom_site_label
_atom_site_fract_x
_atom_site_fract_y
_atom_site_fract_z
Li1 0.0000 0.5000 0.0000
Cl1 0.5000 0.0000 0.0000
Cl2 0.0000 0.0000 0.5000
Ir1 0.5000 0.5000 0.5000
Tl1 0.0000 0.0000 0.0000
```

## Properties
SG	P4/mmm (123)
calculated total energy	-0.0911	Ha/atom
formation energy without anion corrections	889	meV/atom
size of the total moment	0.589	μB/atom

---

Record 10
Here is crystalline Pm2EuDy at its relaxed geometry from the Alexandria database. Energies are from PBE-GGA.

```
data_Pm2EuDy
_cell_length_a 3.8366
_cell_length_b 6.0311
_cell_length_c 6.0311
_cell_angle_alpha 90.00
_cell_angle_beta 90.00
_cell_angle_gamma 90.00
_space_group_name_H-M_alt 'P 1'
_space_group_IT_number 1
loop_
_space_group_symop_operation_xyz
'x,y,z'
loop_
_atom_site_label
_atom_site_fract_x
_atom_site_fract_y
_atom_site_fract_z
Dy1 0.5000 0.0000 0.0000
Pm1 0.0000 0.0000 0.5000
Pm2 0.0000 0.5000 0.0000
Eu1 0.5000 0.5000 0.5000
```

## Properties
SG	P4/mmm (123)
calculated total energy	-0.2191	Ha/atom
size of the total moment	1.974	μB/atom
energy relative to the lowest polymorph listed for this composition	36	kJ/mol of formula units

---

Record 11
Here is crystalline HfNb2V2 at its relaxed geometry from the Alexandria database. Energies are from PBE-GGA.

```
data_HfNb2V2
_cell_length_a 7.2774
_cell_length_b 7.2774
_cell_length_c 3.3460
_cell_angle_alpha 90.00
_cell_angle_beta 90.00
_cell_angle_gamma 90.00
_space_group_name_H-M_alt 'P 1'
_space_group_IT_number 1
loop_
_space_group_symop_operation_xyz
'x,y,z'
loop_
_atom_site_label
_atom_site_fract_x
_atom_site_fract_y
_atom_site_fract_z
Hf1 0.5000 0.5000 0.0000
Hf2 0.0000 0.0000 0.0000
V1 0.8678 0.6322 0.0000
V2 0.6322 0.1322 0.0000
V3 0.1322 0.3678 0.0000
V4 0.3678 0.8678 0.0000
Nb1 0.8398 0.3398 0.5000
Nb2 0.6602 0.8398 0.5000
Nb3 0.3398 0.1602 0.5000
Nb4 0.1602 0.6602 0.5000
```

## Properties
SG	P4/mbm (127)
calculated total energy	-0.3465	Ha/atom
size of the total moment	0.236	μB/atom

---

Record 12
Here is crystalline ZnRu2Se at its relaxed geometry from the Alexandria database. Energies are from PBE-GGA.

```
data_ZnRu2Se
_cell_length_a 2.7632
_cell_length_b 2.7632
_cell_length_c 10.0370
_cell_angle_alpha 90.00
_cell_angle_beta 90.00
_cell_angle_gamma 118.28
_space_group_name_H-M_alt 'P 1'
_space_group_IT_number 1
loop_
_space_group_symop_operation_xyz
'x,y,z'
loop_
_atom_site_label
_atom_site_fract_x
_atom_site_fract_y
_atom_site_fract_z
Se1 0.0000 0.0000 0.4507
Zn1 0.5000 0.5000 0.7949
Ru1 0.5000 0.5000 0.2368
Ru2 0.0000 0.0000 0.0177
```

## Properties
SG	Cmm2 (35)
calculated total energy	-0.1990	Ha/atom
formation energy without anion corrections	414	meV/atom
size of the total moment	0.179	μB/atom
energy relative to the lowest polymorph listed for this composition	125	kJ/mol of formula units